1.
The following is a meta-GGA SCAN calculation of a PBEsol-optimized structure of Nb3ZnAu, from Alexandria via LeMat-Bulk.

Unit cell a=6.9262 b=6.9262 c=6.9262 alpha=90.00 beta=90.00 gamma=90.00
Closest atoms and distances in Å follow each position.
Fractional coordinates of all 20 atoms:
Nb 0.0480 0.1203 0.7931  3 Zn 2.78-2.98, 3 Au 2.85-2.91, 6 Nb 2.89-2.92
Nb 0.1203 0.7931 0.0480  3 Zn 2.78-2.98, 3 Au 2.85-2.91, 6 Nb 2.89-2.92
Nb 0.2069 0.5480 0.3797  3 Zn 2.78-2.98, 3 Au 2.85-2.91, 6 Nb 2.89-2.92
Nb 0.2931 0.4520 0.8797  3 Zn 2.78-2.98, 3 Au 2.85-2.91, 6 Nb 2.89-2.92
Nb 0.3797 0.2069 0.5480  3 Zn 2.78-2.98, 3 Au 2.85-2.91, 6 Nb 2.89-2.92
Nb 0.4520 0.8797 0.2931  3 Zn 2.78-2.98, 3 Au 2.85-2.91, 6 Nb 2.89-2.92
Nb 0.5480 0.3797 0.2069  3 Zn 2.78-2.98, 3 Au 2.85-2.91, 6 Nb 2.89-2.92
Nb 0.6203 0.7069 0.9520  3 Zn 2.78-2.98, 3 Au 2.85-2.91, 6 Nb 2.89-2.92
Nb 0.7069 0.9520 0.6203  3 Zn 2.78-2.98, 3 Au 2.85-2.91, 6 Nb 2.89-2.92
Nb 0.7931 0.0480 0.1203  3 Zn 2.78-2.98, 3 Au 2.85-2.91, 6 Nb 2.89-2.92
Nb 0.8797 0.2931 0.4520  3 Zn 2.78-2.98, 3 Au 2.85-2.91, 6 Nb 2.89-2.92
Nb 0.9520 0.6203 0.7069  3 Zn 2.78-2.98, 3 Au 2.85-2.91, 6 Nb 2.89-2.92
Zn 0.0635 0.9365 0.4365  3 Au 2.59, 6 Nb 2.78-2.90
Zn 0.4365 0.0635 0.9365  3 Au 2.59, 6 Nb 2.78-2.90
Zn 0.5635 0.5635 0.5635  3 Au 2.59, 6 Nb 2.78-2.90
Zn 0.9365 0.4365 0.0635  3 Au 2.59, 6 Nb 2.78-2.90
Au 0.1853 0.1853 0.1853  3 Zn 2.59, 3 Nb 2.85
Au 0.3147 0.8147 0.6853  3 Zn 2.59, 3 Nb 2.85
Au 0.6853 0.3147 0.8147  3 Zn 2.59, 3 Nb 2.85
Au 0.8147 0.6853 0.3147  3 Zn 2.59, 3 Nb 2.85

Computed properties:
Formation enthalpy at 0 K   -220.7 meV per atom

2.
The following is a meta-GGA SCAN calculation of a PBEsol-optimized structure of Y2TeAu, from Alexandria via LeMat-Bulk.

Unit cell a=7.7563 b=7.7563 c=7.7563 alpha=30.52 beta=30.52 gamma=30.52
Closest atoms and distances in Å follow each position.
Fractional coordinates of all 4 atoms:
Y 0.2434 0.2434 0.2434  3 Au 2.91, 3 Te 3.09
Y 0.7566 0.7566 0.7566  3 Au 2.91, 3 Te 3.09
Te 0.0000 0.0000 0.0000  6 Y 3.09
Au 0.5000 0.5000 0.5000  6 Y 2.91

Computed properties:
Energy   -41.828 eV per atom

3.
The following is a meta-GGA SCAN calculation of a PBEsol-optimized structure of LiAgCl2, from Alexandria via LeMat-Bulk.

Unit cell a=6.3501 b=6.3501 c=3.7126 alpha=90.07 beta=90.07 gamma=33.22
Closest atoms and distances in Å follow each position.
Fractional coordinates of all 4 atoms:
Li 0.0000 0.0000 0.0000  5 Cl 2.54-2.62
Ag 0.3059 0.3059 0.4976  5 Cl 2.60-2.68
Cl 0.5260 0.5260 0.4995  4 Li 2.61-2.62, 1 Ag 2.68
Cl 0.7916 0.7916 0.9976  1 Li 2.54, 4 Ag 2.60

Computed properties:
Energy   -13.623 eV per atom

Here are the calculated density numbers, same order: 10.817 7.820 3.760 (g cm⁻³).